[1]
A relaxed structure of PmSmTm2. Source: the Alexandria database, functional GGA-PBE.

**Electronic total energy**: -73.4 eV/cell
**Formation energy from the elements**: 16 meV/atom

Cell: 7.2594 6.2786 12.9928 Å, 118.94 90.00 90.00°
Last column: nearest neighbours and their distance in Å.
Atoms (fractional coordinates):
Pm 0.7517 0.5430 0.3779  7 Tm 3.50-3.68, 4 Sm 3.52-3.64, 1 Pm 3.57
Pm 0.7517 0.9570 0.1221  7 Tm 3.50-3.68, 4 Sm 3.52-3.64, 1 Pm 3.57
Pm 0.2483 0.0430 0.8779  7 Tm 3.50-3.68, 4 Sm 3.52-3.64, 1 Pm 3.57
Pm 0.2483 0.4570 0.6221  7 Tm 3.50-3.68, 4 Sm 3.52-3.64, 1 Pm 3.57
Sm 0.5008 0.0421 0.3748  4 Pm 3.52-3.64, 6 Tm 3.53-3.65, 2 Sm 3.53-3.54
Sm 0.4992 0.5421 0.8748  4 Pm 3.52-3.64, 6 Tm 3.53-3.65, 2 Sm 3.53-3.54
Sm 0.4992 0.9579 0.6252  4 Pm 3.52-3.64, 6 Tm 3.53-3.65, 2 Sm 3.53-3.54
Sm 0.5008 0.4579 0.1252  4 Pm 3.52-3.64, 6 Tm 3.53-3.65, 2 Sm 3.53-3.54
Tm 0.0003 0.5410 0.8748  6 Tm 3.49-3.62, 4 Pm 3.50-3.63, 2 Sm 3.62-3.64
Tm 0.9997 0.4590 0.1252  6 Tm 3.49-3.62, 4 Pm 3.50-3.63, 2 Sm 3.62-3.64
Tm 0.7549 0.0412 0.8727  5 Tm 3.49-3.62, 4 Sm 3.53-3.65, 3 Pm 3.53-3.68
Tm 0.0003 0.9590 0.6252  6 Tm 3.49-3.62, 4 Pm 3.50-3.63, 2 Sm 3.62-3.64
Tm 0.9997 0.0410 0.3748  6 Tm 3.49-3.62, 4 Pm 3.50-3.63, 2 Sm 3.62-3.64
Tm 0.2451 0.9588 0.1273  5 Tm 3.49-3.62, 4 Sm 3.53-3.65, 3 Pm 3.53-3.68
Tm 0.2451 0.5412 0.3727  5 Tm 3.49-3.62, 4 Sm 3.53-3.65, 3 Pm 3.53-3.68
Tm 0.7549 0.4588 0.6273  5 Tm 3.49-3.62, 4 Sm 3.53-3.65, 3 Pm 3.53-3.68

---

[2]
A relaxed structure of SrB4H12. Source: the Alexandria database, functional GGA-PBE.

**Electronic total energy**: -62.0 eV/cell

Cell: 5.3470 5.3470 5.3470 Å, 109.47 109.47 109.47°
Last column: nearest neighbours and their distance in Å.
Atoms (fractional coordinates):
H 0.7409 0.2597 0.0006  2 B 1.55
H 0.9994 0.2591 0.7403  2 B 1.55
H 0.0006 0.7409 0.2597  2 B 1.55
H 0.2591 0.7403 0.9994  2 B 1.55
H 0.5187 0.2591 0.2597  2 B 1.55
H 0.7403 0.9994 0.2591  2 B 1.55
H 0.7403 0.4813 0.7409  2 B 1.55
H 0.2591 0.2597 0.5187  2 B 1.55
H 0.2597 0.0006 0.7409  2 B 1.55
H 0.2597 0.5187 0.2591  2 B 1.55
H 0.4813 0.7409 0.7403  2 B 1.55
H 0.7409 0.7403 0.4813  2 B 1.55
Sr 0.0000 0.0000 0.0000  12 H 2.26
B 0.5000 0.5000 0.5000  6 H 1.55
B 0.0000 0.0000 0.5000  6 H 1.55
B 0.5000 0.0000 0.0000  6 H 1.55
B 0.0000 0.5000 0.0000  6 H 1.55

---

[3]
A relaxed structure of PmNd2Y. Source: the Alexandria database, functional GGA-PBE.

**Electronic total energy**: -20.7 eV/cell
**Formation energy from the elements**: 11 meV/atom

Cell: 3.6655 3.6655 12.0112 Å, 81.21 81.21 60.00°
Last column: nearest neighbours and their distance in Å.
Atoms (fractional coordinates):
Pm 0.6668 0.6668 0.9985  6 Nd 3.64-3.69, 6 Pm 3.67
Y 0.4999 0.4999 0.4999  6 Nd 3.60-3.62, 6 Y 3.67
Nd 0.2490 0.2490 0.2538  3 Y 3.60, 6 Nd 3.67, 3 Pm 3.68-3.69
Nd 0.0843 0.0843 0.7479  3 Y 3.61-3.62, 3 Pm 3.64, 6 Nd 3.67

---

[4]
A relaxed structure of BaAlFe3. Source: the Alexandria database, functional GGA-PBE.

**Electronic total energy**: -19.7 eV/cell
**Formation energy from the elements**: 2270 meV/atom

Cell: 4.9278 4.9278 4.9278 Å, 90.00 90.00 90.00°
Last column: nearest neighbours and their distance in Å.
Atoms (fractional coordinates):
Fe 0.0000 0.0000 0.5000  2 Ba 2.46
Fe 0.5000 0.0000 0.0000  2 Ba 2.46
Fe 0.0000 0.5000 0.0000  2 Ba 2.46
Ba 0.0000 0.0000 0.0000  6 Fe 2.46
Al 0.5000 0.5000 0.5000  12 Fe 3.48

---

[5]
A relaxed structure of CsLaFe2I8. Source: the Alexandria database, functional GGA-PBE.

**Energy relative to the elements, uncorrected**: -775 meV per atom
**Electronic total energy**: -44.4 eV/cell

Cell: 7.5388 7.5388 11.3221 Å, 83.39 83.39 69.03°
Last column: nearest neighbours and their distance in Å.
Atoms (fractional coordinates):
I 0.2340 0.7222 0.2090  1 Fe 2.68
I 0.6889 0.6889 0.4104  1 Fe 2.55
I 0.3111 0.3111 0.5896  1 Fe 2.55
I 0.2560 0.2560 0.9914  1 Fe 2.63
I 0.7440 0.7440 0.0086  1 Fe 2.63
I 0.2778 0.7660 0.7910  1 Fe 2.68
I 0.7222 0.2340 0.2090  1 Fe 2.68
I 0.7660 0.2778 0.7910  1 Fe 2.68
Cs 0.0000 0.0000 0.5000  6 I 3.99-4.13
Fe 0.6126 0.6126 0.2124  4 I 2.55-2.68
Fe 0.3874 0.3874 0.7876  4 I 2.55-2.68
La 0.0000 0.0000 0.0000  6 I 3.17-3.21

---

[6]
A relaxed structure of MnTePb2. Source: the Alexandria database, functional GGA-PBE.

**Energy relative to the elements, uncorrected**: 148 meV per atom
**Electronic total energy**: -19.1 eV/cell

Cell: 7.9713 7.9713 4.2337 Å, 74.78 74.78 26.29°
Last column: nearest neighbours and their distance in Å.
Atoms (fractional coordinates):
Pb 0.9310 0.9310 0.0687  2 Mn 3.26, 2 Te 3.43-3.44, 6 Pb 3.47-3.63
Pb 0.5690 0.5690 0.4313  2 Mn 3.26, 2 Te 3.43-3.44, 6 Pb 3.47-3.63
Te 0.7500 0.7500 0.7500  4 Mn 2.79
Mn 0.2500 0.2500 0.2500  4 Te 2.79

---

[7]
A relaxed structure of ReINO2. Source: the Alexandria database, functional GGA-PBE.

**Energy relative to the elements, uncorrected**: 1615 meV per atom
**Electronic total energy**: -24.2 eV/cell

Cell: 4.0322 4.0322 4.5445 Å, 90.00 90.00 90.00°
Last column: nearest neighbours and their distance in Å.
Atoms (fractional coordinates):
I 0.0000 0.0000 0.0000  4 O 2.02
O 0.5000 0.0000 0.0000  2 I 2.02
O 0.0000 0.5000 0.0000  2 I 2.02
N 0.0000 0.0000 0.5000  2 I 2.27
Re 0.5000 0.5000 0.5000  4 N 2.85, 8 O 3.04

---

[8]
A relaxed structure of YPuRh. Source: the Alexandria database, functional GGA-PBE.

**Electronic total energy**: -29.1 eV/cell
**Formation energy from the elements**: -309 meV/atom

Cell: 4.8076 4.8076 4.8076 Å, 60.00 60.00 60.00°
Last column: nearest neighbours and their distance in Å.
Atoms (fractional coordinates):
Y 0.5000 0.5000 0.5000  4 Rh 2.94
Pu 0.0000 0.0000 0.0000  4 Rh 2.94
Rh 0.2500 0.2500 0.2500  4 Y 2.94, 4 Pu 2.94

---

- Which of these has the highest electronic total energy?
  MnTePb2

---

- Which of these has the highest electronic total energy?
  MnTePb2

---

- Look up the electronic total energy of the second one.
  -62.0 eV/cell

---

- The highest electronic total energy belongs to which entry?
  MnTePb2